Record 1
Tc2PbI | GGA-PBE | relaxed

abc: 6.7072 6.7072 6.7072
angles: 90.00 90.00 90.00
Last column: nearest neighbours and their distance in Å.
Space group Fm-3m (No. 225)
Unique sites:
Tc (0.2500, 0.2500, 0.2500) x8  4 Pb 2.90, 4 I 2.90
Pb (0.0000, 0.0000, 0.0000) x4  8 Tc 2.90
I (0.0000, 0.0000, 0.5000) x4  8 Tc 2.90

Values from the calculation:
For the formation energy without anion corrections, the calculation gives 0.98 eV per atom.

***

Record 2
Pm2TlSn6 | GGA-PBE | relaxed

abc: 18.2630 6.7919 4.4976
angles: 90.00 104.13 90.00
Last column: nearest neighbours and their distance in Å.
Space group Cm (No. 8)
Unique sites:
Pm (0.0000, 0.0000, 0.0000) x2  10 Sn 3.26-3.51
Pm (0.2329, 0.0000, 0.2347) x2  10 Sn 3.34-3.71, 2 Tl 3.48
Tl (0.1904, 0.5000, 0.1935) x2  8 Sn 3.24-3.55, 2 Pm 3.48
Sn (0.1144, 0.2174, 0.6161) x4  1 Sn 2.95, 2 Tl 3.24-3.25
Sn (0.3206, 0.2816, 0.8216) x4  3 Sn 2.97
Sn (0.4267, 0.2093, 0.4270) x4  3 Sn 2.84-2.97

Values from the calculation:
The value obtained for the formation energy from the elements is -0.34 eV per atom.

***

Record 3
Ca2TbWN4 | GGA-PBE | relaxed

abc: 5.7812 3.2910 5.8923
angles: 90.00 108.77 90.00
Last column: nearest neighbours and their distance in Å.
Space group P2/m (No. 10)
Unique sites:
Ca (0.0000, 0.0000, 0.0000) x1  6 N 2.52-2.68
Ca (0.5000, 0.5000, 0.0000) x1  6 N 2.40-2.41
Tb (0.0000, 0.5000, 0.5000) x1  6 N 2.36
W (0.5000, 0.0000, 0.5000) x1  6 N 2.06-2.22
N (0.2776, 0.0000, 0.7124) x2  1 W 2.06
N (0.2796, 0.5000, 0.2826) x2  2 W 2.22, 1 Tb 2.36, 1 Ca 2.40

Values from the calculation:
For the formation energy without anion corrections, the calculation gives -1.03 eV per atom.

***

Record 4
Co2Hg | GGA-PBE | relaxed

abc: 2.7996 15.6398 4.1101
angles: 90.00 90.00 90.00
Last column: nearest neighbours and their distance in Å.
Space group Cmcm (No. 63)
Unique sites:
Co (0.0000, 0.1468, 0.2500) x4  4 Co 2.41-2.42
Co (0.0000, 0.2280, 0.7500) x4  8 Co 2.41-2.58
Hg (0.0000, 0.4324, 0.2500) x4  6 Co 2.78-2.87, 4 Hg 2.80-2.95

Values from the calculation:
The value obtained for the formation energy from the elements is 0.37 eV per atom.

***

Record 5
TaGaNi5 | GGA-PBE | relaxed

abc: 5.8807 6.8963 8.9086
angles: 90.00 106.61 90.00
Last column: nearest neighbours and their distance in Å.
Space group C2/c (No. 15)
Unique sites:
Ta (0.0000, 0.1973, 0.2500) x4  9 Ni 2.50-2.66
Ga (0.2500, 0.2500, 0.0000) x4  8 Ni 2.37-2.64
Ni (0.0000, 0.1649, 0.7500) x4  2 Ga 2.37, 6 Ni 2.38-2.59, 1 Ta 2.50
Ni (0.1045, 0.4783, 0.6453) x8  6 Ni 2.47-2.59, 2 Ta 2.55-2.57, 2 Ga 2.56-2.64
Ni (0.1821, 0.0990, 0.5492) x8  5 Ni 2.38-2.53, 1 Ga 2.50, 2 Ta 2.60-2.66

Values from the calculation:
The value obtained for the formation energy from the elements is -0.23 eV per atom.

***

Record 6
BaYW | GGA-PBE | relaxed

abc: 5.4914 5.4914 3.0311
angles: 90.00 90.00 120.00
Last column: nearest neighbours and their distance in Å.
Space group P-6m2 (No. 187)
Unique sites:
Ba (0.0000, 0.0000, 0.0000) x1  2 Ba 3.03, 3 Y 3.17
Y (0.3333, 0.6667, 0.0000) x1  2 Y 3.03, 3 Ba 3.17
W (0.6667, 0.3333, 0.5000) x1  2 W 3.03

Values from the calculation:
The value obtained for the formation energy from the elements is 1.16 eV per atom.

***

Record 7
Sr11Tl4In9 | GGA-PBE | relaxed

abc: 16.3227 24.0157 4.1225
angles: 90.00 90.00 90.00
Last column: nearest neighbours and their distance in Å.
Space group Cmmm (No. 65)
Unique sites:
Sr (0.0000, 0.0000, 0.0000) x2  8 In 3.48
Sr (0.0000, 0.1674, 0.0000) x4  8 In 3.56-3.63, 2 Sr 3.85
Sr (0.0000, 0.3613, 0.0000) x4  4 Tl 3.37, 4 In 3.55
Sr (0.2357, 0.1737, 0.0000) x8  2 Tl 3.40, 6 In 3.55-3.68, 1 Sr 3.70
Sr (0.2411, 0.5000, 0.0000) x4  4 Tl 3.40, 4 In 3.52
Tl (0.1489, 0.4067, 0.5000) x8  3 In 3.31-3.67, 6 Sr 3.37-3.40
In (0.0000, 0.5000, 0.5000) x2  4 Tl 3.31
In (0.1050, 0.2646, 0.5000) x8  1 In 3.43, 1 Tl 3.49, 8 Sr 3.55-3.68
In (0.1277, 0.0783, 0.5000) x8  8 Sr 3.48-3.63, 1 Tl 3.67, 1 In 3.76

Values from the calculation:
The value obtained for the formation energy from the elements is -0.38 eV per atom.

***

Record 8
Y2Cd2Hg | GGA-PBE | relaxed

abc: 4.7388 15.2431 3.4915
angles: 90.00 90.00 90.00
Last column: nearest neighbours and their distance in Å.
Space group Cmmm (No. 65)
Unique sites:
Y (0.0000, 0.1123, 0.0000) x4  6 Cd 3.23-3.36, 4 Hg 3.40, 3 Y 3.42-3.49
Cd (0.0000, 0.3005, 0.5000) x4  2 Cd 2.82, 1 Hg 3.04
Hg (0.0000, 0.5000, 0.5000) x2  2 Cd 3.04, 8 Y 3.40

Values from the calculation:
The value obtained for the formation energy from the elements is -0.32 eV per atom.

***

Record 9
SmZrGa | GGA-PBE | relaxed

abc: 4.7506 4.7506 3.8558
angles: 90.00 90.00 120.00
Last column: nearest neighbours and their distance in Å.
Space group P3m1 (No. 156)
Unique sites:
Sm (0.0000, 0.0000, 0.0000) x1  6 Ga 3.35-3.36, 6 Zr 3.35
Zr (0.3333, 0.6667, 0.5001) x1  3 Ga 2.74
Ga (0.6667, 0.3333, 0.4986) x1  3 Zr 2.74

Values from the calculation:
The value obtained for the formation energy from the elements is -0.16 eV per atom.

***

Record 10
CaHgBr | GGA-PBE | relaxed

abc: 4.1308 4.1308 6.9370
angles: 90.00 90.00 120.00
Last column: nearest neighbours and their distance in Å.
Space group P3m1 (No. 156)
Unique sites:
Ca (0.0000, 0.0000, 0.0000) x1  3 Br 2.91, 3 Hg 3.12
Hg (0.3333, 0.6667, 0.2889) x1  3 Ca 3.12
Br (0.6667, 0.3333, 0.7600) x1  3 Ca 2.91

Values from the calculation:
For the formation energy without anion corrections, the calculation gives -0.95 eV per atom.

***

Record 11
PmTm2Te4 | GGA-PBE | relaxed

abc: 7.4809 4.3300 7.5780
angles: 90.00 108.08 90.00
Last column: nearest neighbours and their distance in Å.
Space group P2/m (No. 10)
Unique sites:
Pm (0.0000, 0.0000, 0.0000) x1  6 Te 3.10-3.15
Tm (0.0000, 0.5000, 0.5000) x1  6 Te 3.07-3.11
Tm (0.5000, 0.0000, 0.5000) x1  6 Te 3.00-3.04
Te (0.2504, 0.0000, 0.7420) x2  3 Tm 3.00-3.07, 1 Pm 3.10
Te (0.2636, 0.5000, 0.2527) x2  3 Tm 3.04-3.11, 2 Pm 3.15

Values from the calculation:
For the formation energy without anion corrections, the calculation gives -1.40 eV per atom.

***

Record 12
LiRePt | GGA-PBE | relaxed

abc: 2.6756 3.9912 7.9029
angles: 90.00 90.00 90.00
Last column: nearest neighbours and their distance in Å.
Space group Imm2 (No. 44)
Unique sites:
Li (0.0000, 0.0000, 0.0000) x2  5 Re 2.59-2.76, 5 Pt 2.64-2.74, 2 Li 2.68
Re (0.0000, 0.0000, 0.3273) x2  5 Li 2.59-2.76, 5 Pt 2.67-2.72, 2 Re 2.68
Pt (0.0000, 0.0000, 0.6655) x2  5 Li 2.64-2.74, 5 Re 2.67-2.72, 2 Pt 2.68

Values from the calculation:
The value obtained for the formation energy from the elements is 0.04 eV per atom.

***

no.,total DFT energy (no corrections) (eV per atom),calculated volume (Å³ per atom),calculated density (g cm⁻³)
1,-5.522,18.9,11.67
2,-4.332,30.1,7.41
3,-7.896,13.3,7.49
4,-4.472,15.0,11.75
5,-6.482,12.4,10.44
6,-5.955,26.4,8.60
7,-2.576,33.7,5.78
8,-3.327,25.2,7.94
9,-5.593,25.1,6.86
10,-2.271,34.2,5.19
11,-5.147,33.3,7.07
12,-6.759,14.1,15.28